Record 1
La3Sc SCAN PBEsol geometry; space group = Pm-3m; final energy = -35.8563 eV per atom; energy of formation from the pure elements = 32 meV per atom; ρ = 6151 kg/m3; total moment = 0.00 μB/atom
1.0
-3.473 2.950 2.047
-3.134 -3.880 0.275
1.753 -1.093 4.548
Sc La
1 3
Cartesian
-2.427 -1.011 3.435
0.876 -0.546 2.274
-1.567 -1.940 0.138
-1.736 1.475 1.023

=====

Record 2
SmCoO3 SCAN PBEsol geometry; space group = Pnma; final energy = -18.7573 eV per atom; ρ = 8207 kg/m3; total moment = 0.00 μB/atom; raw formation energy = -2.67 eV/atom
1.0
5.207 0.000 0.000
0.000 5.382 0.000
0.000 0.000 7.430
Sm Co O
4 4 12
Cartesian
2.678 3.013 1.857
5.132 0.322 1.857
2.529 2.369 5.572
0.075 5.061 5.572
2.604 0.000 0.000
0.000 2.691 3.715
2.604 0.000 3.715
0.000 2.691 0.000
2.171 5.302 1.857
0.432 2.610 1.857
3.036 0.081 5.572
4.775 2.772 5.572
4.153 4.276 0.319
3.658 1.585 3.395
1.054 1.106 4.034
1.550 3.797 7.110
1.054 1.106 7.110
1.550 3.797 4.034
4.153 4.276 3.395
3.658 1.585 0.319

=====

Record 3
BaTe2Pb2 SCAN PBEsol geometry; space group = I4/mmm; final energy = -53.8659 eV per atom; ρ = 7321 kg/m3; total moment = 0.00 μB/atom; raw formation energy = -0.74 eV/atom
1.0
-6.041 0.353 0.660
2.417 -5.204 -3.162
0.008 -5.337 2.929
Pb Te Ba
2 2 1
Cartesian
-3.206 -3.226 0.456
-0.410 -6.961 -0.029
-3.317 -6.339 1.111
-0.300 -3.848 -0.684
0.000 0.000 0.000

=====

Please write out number 2 again, unchanged.
SmCoO3 SCAN PBEsol geometry; space group = Pnma; final energy = -18.7573 eV per atom; ρ = 8207 kg/m3; total moment = 0.00 μB/atom; raw formation energy = -2.67 eV/atom
1.0
5.207 0.000 0.000
0.000 5.382 0.000
0.000 0.000 7.430
Sm Co O
4 4 12
Cartesian
2.678 3.013 1.857
5.132 0.322 1.857
2.529 2.369 5.572
0.075 5.061 5.572
2.604 0.000 0.000
0.000 2.691 3.715
2.604 0.000 3.715
0.000 2.691 0.000
2.171 5.302 1.857
0.432 2.610 1.857
3.036 0.081 5.572
4.775 2.772 5.572
4.153 4.276 0.319
3.658 1.585 3.395
1.054 1.106 4.034
1.550 3.797 7.110
1.054 1.106 7.110
1.550 3.797 4.034
4.153 4.276 3.395
3.658 1.585 0.319

=====

The highest ρ belongs to which entry?
SmCoO3

=====

Which of these has the highest final energy?
SmCoO3